Arrangement A

# LuCoOsPb (GGA-PBE, optimized geometry)
data_LuCoOsPb
_cell_length_a 6.5577
_cell_length_b 6.5577
_cell_length_c 6.5577
_cell_angle_alpha 90.00
_cell_angle_beta 90.00
_cell_angle_gamma 90.00
_symmetry_space_group_name_H-M 'F -4 3 m'
_symmetry_Int_Tables_number 216
_symmetry_space_group_name_Hall 'F -4 2 3'
loop_
_atom_site_label
_atom_site_fract_x
_atom_site_fract_y
_atom_site_fract_z
_atom_site_occupancy
Lu1 0.0000 0.0000 0.0000 1
Co1 0.2500 0.2500 0.7500 1
Os1 0.2500 0.2500 0.2500 1
Pb1 0.0000 0.0000 0.5000 1
# M_tot ... 0.2 Bohr magnetons per cell

Arrangement B

# LuCoOsPb (GGA-PBE, optimized geometry)
data_LuCoOsPb
_cell_length_a 6.6592
_cell_length_b 6.6592
_cell_length_c 6.6592
_cell_angle_alpha 90.00
_cell_angle_beta 90.00
_cell_angle_gamma 90.00
_symmetry_space_group_name_H-M 'F -4 3 m'
_symmetry_Int_Tables_number 216
_symmetry_space_group_name_Hall 'F -4 2 3'
loop_
_atom_site_label
_atom_site_fract_x
_atom_site_fract_y
_atom_site_fract_z
_atom_site_occupancy
Lu1 0.0000 0.0000 0.0000 1
Co1 0.0000 0.0000 0.5000 1
Os1 0.2500 0.2500 0.7500 1
Pb1 0.2500 0.2500 0.2500 1
# M_tot ... 11.1 Bohr magnetons per cell

Of them, arrangement A has the highest stability.